No. 1
This record from Alexandria describes TlSiHg4 after structural relaxation. The functional is PBE-GGA.

Crystal system: cubic
Magnetic moment (μB/cell): 0.00
Raw formation energy (meV/atom): 385
Theoretical density (g/cm³): 11.0
Electronic total energy (eV per atom): -1.1147
Density of states at the Fermi level (states/eV per cell): 8.57

Cell lengths 8.559, 8.559, 8.559 Å; angles 90.00, 90.00, 90.00 degrees
Space group F-43m (No. 216)
One atom of each set of equivalent atoms:
Tl (0.000, 0.000, 0.000) (multiplicity 4)
Si (0.250, 0.250, 0.250) (multiplicity 4)
Hg (0.125, 0.125, 0.625) (multiplicity 16)

***

No. 2
This record from Alexandria describes Rb2TlBiI6 after structural relaxation. The functional is PBE-GGA.

Crystal system: trigonal
Magnetic moment (μB/cell): 0.00
Raw formation energy (meV/atom): -918
Theoretical density (g/cm³): 4.4
Electronic total energy (eV per atom): -2.6668
Density of states at the Fermi level (states/eV per cell): 0.00

Cell lengths 8.9214, 8.9214, 22.3306 Å; angles 90.00, 90.00, 120.00 degrees
Space group R3 (No. 146, hexagonal axes)
One atom of each set of equivalent atoms:
Rb (0.0000, 0.0000, 0.0000) (multiplicity 3)
Rb (0.0000, 0.0000, 0.4910) (multiplicity 3)
Tl (0.0000, 0.0000, 0.2111) (multiplicity 3)
Bi (0.0000, 0.0000, 0.7058) (multiplicity 3)
I (0.0164, 0.4151, 0.4500) (multiplicity 9)
I (0.0823, 0.7177, 0.2888) (multiplicity 9)

***

No. 3
This record from Alexandria describes La5Ho after structural relaxation. The functional is PBE-GGA.

Crystal system: orthorhombic
Magnetic moment (μB/cell): 0.02
Calculated formation energy (meV/atom): 16
Theoretical density (g/cm³): 6.7
Electronic total energy (eV per atom): -4.8529
Density of states at the Fermi level (states/eV per cell): 22.44
Relative energy among the computed polymorphs (eV/atom): 0.004

Cell lengths 5.224, 15.684, 5.228 Å; angles 90.00, 90.00, 90.00 degrees
Space group Cmmm (No. 65)
One atom of each set of equivalent atoms:
La (0.000, 0.000, 0.000) (multiplicity 2)
La (0.000, 0.165, 0.500) (multiplicity 4)
La (0.000, 0.334, 0.000) (multiplicity 4)
Ho (0.000, 0.500, 0.500) (multiplicity 2)

***

No. 4
This record from Alexandria describes CaHgMo2 after structural relaxation. The functional is PBE-GGA.

Crystal system: orthorhombic
Magnetic moment (μB/cell): 0.00
Calculated formation energy (meV/atom): 413
Theoretical density (g/cm³): 8.9
Electronic total energy (eV per atom): -5.5784
Density of states at the Fermi level (states/eV per cell): 6.19

Cell lengths 3.405, 4.950, 9.605 Å; angles 90.00, 90.00, 90.00 degrees
Space group Cmm2 (No. 35)
One atom of each set of equivalent atoms:
Ca (0.000, 0.000, 0.000) (multiplicity 2)
Hg (0.000, 0.500, 0.724) (multiplicity 2)
Mo (0.000, 0.000, 0.465) (multiplicity 2)
Mo (0.000, 0.500, 0.270) (multiplicity 2)

***

No. 5
This record from Alexandria describes MgMnOs2 after structural relaxation. The functional is PBE-GGA.

Crystal system: monoclinic
Magnetic moment (μB/cell): 4.00
Calculated formation energy (meV/atom): 219
Theoretical density (g/cm³): 13.3
Electronic total energy (eV per atom): -8.0873
Density of states at the Fermi level (states/eV per cell): 8.21

Cell lengths 9.957, 2.763, 4.655 Å; angles 90.00, 116.51, 90.00 degrees
Space group Cm (No. 8)
One atom of each set of equivalent atoms:
Mg (0.000, 0.000, 0.000) (multiplicity 2)
Mn (0.264, 0.500, 0.409) (multiplicity 2)
Os (0.238, 0.000, 0.876) (multiplicity 2)
Os (0.499, 0.000, 0.485) (multiplicity 2)

***

No. 6
This record from Alexandria describes Er5Tm2Th5 after structural relaxation. The functional is PBE-GGA.

Crystal system: monoclinic
Magnetic moment (μB/cell): 0.01
Calculated formation energy (meV/atom): 43
Theoretical density (g/cm³): 10.3
Electronic total energy (eV per atom): -5.6946
Density of states at the Fermi level (states/eV per cell): 37.88

Cell lengths 14.934, 5.006, 11.224 Å; angles 90.00, 116.31, 90.00 degrees
Space group C2/m (No. 12)
One atom of each set of equivalent atoms:
Er (0.000, 0.000, 0.000) (multiplicity 2)
Er (0.084, 0.000, 0.748) (multiplicity 4)
Er (0.168, 0.000, 0.504) (multiplicity 4)
Tm (0.083, 0.500, 0.251) (multiplicity 4)
Th (0.000, 0.500, 0.500) (multiplicity 2)
Th (0.168, 0.500, 0.003) (multiplicity 4)
Th (0.250, 0.000, 0.247) (multiplicity 4)

***

No. 7
This record from Alexandria describes Zn2SeI after structural relaxation. The functional is PBE-GGA.

Crystal system: cubic
Magnetic moment (μB/cell): 0.00
Raw formation energy (meV/atom): 225
Theoretical density (g/cm³): 6.2
Electronic total energy (eV per atom): -1.6706
Density of states at the Fermi level (states/eV per cell): 9.02
Relative energy among the computed polymorphs (eV/atom): 0.463

Cell lengths 7.117, 7.117, 7.117 Å; angles 90.00, 90.00, 90.00 degrees
Space group Fm-3m (No. 225)
One atom of each set of equivalent atoms:
Zn (0.250, 0.250, 0.250) (multiplicity 8)
Se (0.000, 0.000, 0.000) (multiplicity 4)
I (0.000, 0.000, 0.500) (multiplicity 4)

***

No. 8
This record from Alexandria describes MnBeTcPd after structural relaxation. The functional is PBE-GGA.

Crystal system: tetragonal
Magnetic moment (μB/cell): 2.38
Calculated formation energy (meV/atom): -179
Theoretical density (g/cm³): 8.8
Electronic total energy (eV per atom): -7.2929
Density of states at the Fermi level (states/eV per cell): 1.84
Relative energy among the computed polymorphs (eV/atom): 0.000

Cell lengths 2.922, 2.922, 5.933 Å; angles 90.00, 90.00, 90.00 degrees
Space group P4mm (No. 99)
One atom of each set of equivalent atoms:
Mn (0.000, 0.000, 0.000) (multiplicity 1)
Be (0.000, 0.000, 0.481) (multiplicity 1)
Tc (0.500, 0.500, 0.239) (multiplicity 1)
Pd (0.500, 0.500, 0.708) (multiplicity 1)

***

No. 9
This record from Alexandria describes SiMoAs after structural relaxation. The functional is PBE-GGA.

Crystal system: orthorhombic
Magnetic moment (μB/cell): 0.00
Raw formation energy (meV/atom): 254
Theoretical density (g/cm³): 6.7
Electronic total energy (eV per atom): -6.7141
Density of states at the Fermi level (states/eV per cell): 6.59
Relative energy among the computed polymorphs (eV/atom): 0.527

Cell lengths 3.400, 4.560, 12.704 Å; angles 90.00, 90.00, 90.00 degrees
Space group Fmm2 (No. 42)
One atom of each set of equivalent atoms:
Si (0.000, 0.000, 0.000) (multiplicity 4)
Mo (0.000, 0.000, 0.352) (multiplicity 4)
As (0.000, 0.000, 0.693) (multiplicity 4)

***

No. 10
This record from Alexandria describes AlRh2Br after structural relaxation. The functional is PBE-GGA.

Crystal system: tetragonal
Magnetic moment (μB/cell): 0.90
Raw formation energy (meV/atom): 44
Theoretical density (g/cm³): 7.3
Electronic total energy (eV per atom): -4.9858
Density of states at the Fermi level (states/eV per cell): 5.63
Relative energy among the computed polymorphs (eV/atom): 0.361

Cell lengths 3.122, 3.122, 7.347 Å; angles 90.00, 90.00, 90.00 degrees
Space group P4mm (No. 99)
One atom of each set of equivalent atoms:
Al (0.000, 0.000, 0.000) (multiplicity 1)
Rh (0.000, 0.000, 0.610) (multiplicity 1)
Rh (0.500, 0.500, 0.850) (multiplicity 1)
Br (0.500, 0.500, 0.382) (multiplicity 1)

***

No. 11
This record from Alexandria describes CdBRhBr2 after structural relaxation. The functional is PBE-GGA.

Crystal system: tetragonal
Magnetic moment (μB/cell): 0.00
Raw formation energy (meV/atom): 323
Theoretical density (g/cm³): 5.7
Electronic total energy (eV per atom): -3.3354
Density of states at the Fermi level (states/eV per cell): 3.46

Cell lengths 5.345, 5.345, 3.966 Å; angles 90.00, 90.00, 90.00 degrees
Space group P4/mmm (No. 123)
One atom of each set of equivalent atoms:
Cd (0.000, 0.000, 0.000) (multiplicity 1)
B (0.500, 0.500, 0.000) (multiplicity 1)
Rh (0.500, 0.500, 0.500) (multiplicity 1)
Br (0.000, 0.500, 0.500) (multiplicity 2)

***

No. 12
This record from Alexandria describes Dy6Tm3ThSc2 after structural relaxation. The functional is PBE-GGA.

Crystal system: monoclinic
Magnetic moment (μB/cell): 0.00
Calculated formation energy (meV/atom): 42
Theoretical density (g/cm³): 8.3
Electronic total energy (eV per atom): -5.0509
Density of states at the Fermi level (states/eV per cell): 33.68

Cell lengths 6.026, 10.437, 11.609 Å; angles 90.00, 99.97, 90.00 degrees
Space group C2/m (No. 12)
One atom of each set of equivalent atoms:
Dy (0.249, 0.166, 0.247) (multiplicity 8)
Dy (0.250, 0.000, 0.753) (multiplicity 4)
Tm (0.000, 0.168, 0.500) (multiplicity 4)
Tm (0.000, 0.500, 0.500) (multiplicity 2)
Th (0.000, 0.000, 0.000) (multiplicity 2)
Sc (0.000, 0.333, 0.000) (multiplicity 4)